Entry from Alexandria via LeMat-Bulk: crystalline Cs2VCdO4 at its relaxed geometry (GGA+U).

Values from the calculation:
The calculation puts the total magnetization at 0.0 μB per formula unit. The energy comes out at -5.226 eV/atom. The symmetry is Fddd.

Cell: 12.9106 11.5809 7.0537 Å, 83.96 63.13 32.91°
Positions (direct):
1 Cs 0.0516 0.0516 0.6984
2 Cs 0.3016 0.3016 0.9484
3 Cs 0.6984 0.6984 0.0516
4 Cs 0.9484 0.9484 0.3016
5 V 0.3750 0.3750 0.3750
6 V 0.6250 0.6250 0.6250
7 Cd 0.1250 0.1250 0.1250
8 Cd 0.8750 0.8750 0.8750
9 O 0.0693 0.5947 0.5200
10 O 0.3160 0.5200 0.5947
11 O 0.4053 0.9307 0.6840
12 O 0.4800 0.6840 0.9307
13 O 0.5200 0.3160 0.0693
14 O 0.5947 0.0693 0.3160
15 O 0.6840 0.4800 0.4053
16 O 0.9307 0.4053 0.4800